1.
Material: HfI2NCl
Method: DFT, meta-GGA SCAN
State: single point on PBEsol structure

electronic total energy = -30.85 eV/atom
space-group type = P4/mmm, No. 123

a b c (Å): 5.707 5.707 3.990
angles (deg): 90.00 90.00 90.00
Positions (direct):
Hf (0.000, 0.000, 0.000)
I (0.000, 0.500, 0.000)
I (0.500, 0.000, 0.000)
N (0.000, 0.000, 0.500)
Cl (0.500, 0.500, 0.500)

---

2.
Material: La2AuCl
Method: DFT, meta-GGA SCAN
State: single point on PBEsol structure

electronic total energy = -42.13 eV/atom
space-group type = Imm2, No. 44
ΔE to the lowest computed polymorph = 178.9 meV per atom

a b c (Å): 7.941 7.941 7.941
angles (deg): 152.43 152.06 39.66
Positions (direct):
La (0.000, 0.000, 0.000)
La (0.751, 0.251, 0.500)
Au (0.343, 0.843, 0.500)
Cl (0.593, 0.593, 0.000)

---

3.
Material: Y3Zr
Method: DFT, meta-GGA SCAN
State: single point on PBEsol structure

electronic total energy = -28.47 eV/atom
space-group type = Pmmn, No. 59
ΔE to the lowest computed polymorph = 15.2 meV per atom

a b c (Å): 5.421 6.908 6.030
angles (deg): 90.00 90.00 90.00
Positions (direct):
Y (0.250, 0.000, 0.169)
Y (0.250, 0.250, 0.649)
Y (0.250, 0.500, 0.169)
Y (0.750, 0.000, 0.831)
Y (0.750, 0.500, 0.831)
Y (0.750, 0.750, 0.351)
Zr (0.250, 0.750, 0.670)
Zr (0.750, 0.250, 0.330)

---

4.
Material: BaBCl3
Method: DFT, meta-GGA SCAN
State: single point on PBEsol structure

electronic total energy = -15.21 eV/atom
space-group type = Pm-3m, No. 221

a b c (Å): 4.764 4.764 4.764
angles (deg): 90.00 90.00 90.00
Positions (direct):
Ba (0.000, 0.000, 0.000)
B (0.500, 0.500, 0.500)
Cl (0.000, 0.500, 0.500)
Cl (0.500, 0.000, 0.500)
Cl (0.500, 0.500, 0.000)

---

5.
Material: TiTeC3
Method: DFT, meta-GGA SCAN
State: single point on PBEsol structure

electronic total energy = -14.71 eV/atom
space-group type = Pm-3m, No. 221

a b c (Å): 4.082 4.082 4.082
angles (deg): 90.00 90.00 90.00
Positions (direct):
Ti (0.000, 0.000, 0.000)
Te (0.500, 0.500, 0.500)
C (0.000, 0.000, 0.500)
C (0.000, 0.500, 0.000)
C (0.500, 0.000, 0.000)

---

6.
Material: NdSnIr
Method: DFT, meta-GGA SCAN
State: single point on PBEsol structure

electronic total energy = -51.13 eV/atom
space-group type = P-62m, No. 189

a b c (Å): 7.378 7.378 4.133
angles (deg): 90.00 90.00 120.00
Positions (direct):
Nd (0.000, 0.413, 0.000)
Nd (0.413, 0.000, 0.000)
Nd (0.587, 0.587, 0.000)
Sn (0.000, 0.749, 0.500)
Sn (0.251, 0.251, 0.500)
Sn (0.749, 0.000, 0.500)
Ir (0.000, 0.000, 0.000)
Ir (0.333, 0.667, 0.500)
Ir (0.667, 0.333, 0.500)

---

7.
Material: BaMg2BiF
Method: DFT, meta-GGA SCAN
State: single point on PBEsol structure

electronic total energy = -26.77 eV/atom
space-group type = P4/mmm, No. 123

a b c (Å): 5.829 5.829 4.777
angles (deg): 90.00 90.00 90.00
Positions (direct):
Ba (0.000, 0.000, 0.000)
Mg (0.000, 0.500, 0.500)
Mg (0.500, 0.000, 0.500)
Bi (0.500, 0.500, 0.500)
F (0.500, 0.500, 0.000)

---

8.
Material: NiRuN2F
Method: DFT, meta-GGA SCAN
State: single point on PBEsol structure

electronic total energy = -14.02 eV/atom
space-group type = P4/mmm, No. 123

a b c (Å): 3.754 3.754 4.007
angles (deg): 90.00 90.00 90.00
Positions (direct):
Ni (0.000, 0.000, 0.000)
Ru (0.500, 0.500, 0.500)
N (0.000, 0.500, 0.500)
N (0.500, 0.000, 0.500)
F (0.500, 0.500, 0.000)